MgIrCl | PBE | optimized geometry

Lattice parameters (Å, degrees): 4.3555 4.3555 4.3555 60.00 60.00 60.00
Last column: nearest neighbours and their distance in Å.
Atoms (fractional coordinates):
Cl (0.2500, 0.2500, 0.2500)  4 Ir 2.67
Ir (0.5000, 0.5000, 0.5000)  4 Cl 2.67, 4 Mg 2.67
Mg (0.7500, 0.7500, 0.7500)  4 Ir 2.67

Calculated values
For the relative energy among the computed polymorphs, the calculation gives 1209 meV/atom. The calculation puts the energy relative to the elements, uncorrected at 1.5 eV/f.u.

=====

MgIr2Cl | PBE | optimized geometry

Lattice parameters (Å, degrees): 4.4800 4.4800 3.0571 90.00 90.00 90.00
Last column: nearest neighbours and their distance in Å.
Atoms (fractional coordinates):
Cl (0.0000, 0.5000, 0.5000)  8 Ir 2.71
Mg (0.5000, 0.0000, 0.5000)  8 Ir 2.71
Ir (0.5000, 0.5000, 0.0000)  4 Cl 2.71, 4 Mg 2.71
Ir (0.0000, 0.0000, 0.0000)  4 Mg 2.71, 4 Cl 2.71

Calculated values
For the relative energy among the computed polymorphs, the calculation gives 723 meV/atom. The calculation puts the energy relative to the elements, uncorrected at 2.6 eV/f.u.

=====

MgIrCl | PBE | optimized geometry

Lattice parameters (Å, degrees): 4.0085 4.0085 7.0519 90.00 90.00 90.00
Last column: nearest neighbours and their distance in Å.
Atoms (fractional coordinates):
Mg (0.5000, 0.0000, 0.1127)  1 Ir 2.69
Cl (0.5000, 0.5000, 0.5000)  4 Ir 2.58, 4 Cl 2.83
Ir (0.5000, 0.0000, 0.7314)  4 Cl 2.58, 1 Mg 2.69
Cl (0.0000, 0.0000, 0.5000)  4 Ir 2.58, 4 Cl 2.83
Ir (0.0000, 0.5000, 0.2686)  4 Cl 2.58, 1 Mg 2.69
Mg (0.0000, 0.5000, 0.8873)  1 Ir 2.69

Calculated values
For the relative energy among the computed polymorphs, the calculation gives 1256 meV/atom. The calculation puts the energy relative to the elements, uncorrected at 1.6 eV/f.u.

=====

MgIr2Cl | PBE | optimized geometry

Lattice parameters (Å, degrees): 2.8467 4.6424 4.8270 90.00 90.00 90.00
Last column: nearest neighbours and their distance in Å.
Atoms (fractional coordinates):
Ir (0.0000, 0.0000, 0.0000)  6 Ir 2.72-2.85, 4 Mg 2.80
Ir (0.5000, 0.5000, 0.0000)  6 Ir 2.72-2.85, 4 Cl 2.80
Mg (0.5000, 0.0000, 0.5000)  4 Cl 2.72, 4 Ir 2.80, 2 Mg 2.85
Cl (0.0000, 0.5000, 0.5000)  4 Mg 2.72, 4 Ir 2.80, 2 Cl 2.85

Calculated values
For the relative energy among the computed polymorphs, the calculation gives 302 meV/atom. The calculation puts the energy relative to the elements, uncorrected at 0.9 eV/f.u.

=====

MgIrCl2 | PBE | optimized geometry

Lattice parameters (Å, degrees): 3.0483 3.0483 8.7347 90.00 90.00 90.00
Last column: nearest neighbours and their distance in Å.
Atoms (fractional coordinates):
Cl (0.5000, 0.5000, 0.3344)  4 Ir 2.68
Mg (0.5000, 0.5000, 0.7408)  4 Cl 2.60, 4 Ir 2.91
Cl (0.0000, 0.0000, 0.9077)  4 Mg 2.60
Ir (0.0000, 0.0000, 0.5170)  4 Cl 2.68, 4 Mg 2.91

Calculated values
For the relative energy among the computed polymorphs, the calculation gives 220 meV/atom. The calculation puts the energy relative to the elements, uncorrected at -0.9 eV/f.u.

=====

MgIrCl | PBE | optimized geometry

Lattice parameters (Å, degrees): 4.9992 4.5069 10.3943 90.00 90.00 90.00
Last column: nearest neighbours and their distance in Å.
Atoms (fractional coordinates):
Ir (0.7731, 0.2500, 0.1705)  2 Cl 2.33
Cl (0.8870, 0.7500, 0.1526)  2 Ir 2.33, 1 Mg 2.44
Cl (0.3870, 0.7500, 0.3474)  2 Ir 2.33, 1 Mg 2.44
Ir (0.2269, 0.7500, 0.8295)  2 Cl 2.33
Ir (0.7269, 0.7500, 0.6705)  2 Cl 2.33
Ir (0.2731, 0.2500, 0.3295)  2 Cl 2.33
Cl (0.1130, 0.2500, 0.8474)  2 Ir 2.33, 1 Mg 2.44
Mg (0.2869, 0.2500, 0.0667)  1 Cl 2.44, 2 Ir 2.66-2.73
Mg (0.7131, 0.7500, 0.9333)  1 Cl 2.44, 2 Ir 2.66-2.73
Mg (0.7869, 0.2500, 0.4333)  1 Cl 2.44, 2 Ir 2.66-2.73
Cl (0.6130, 0.2500, 0.6526)  2 Ir 2.33, 1 Mg 2.44
Mg (0.2131, 0.7500, 0.5667)  1 Cl 2.44, 2 Ir 2.66-2.73

Calculated values
For the relative energy among the computed polymorphs, the calculation gives 735 meV/atom. The calculation puts the energy relative to the elements, uncorrected at 0.1 eV/f.u.

=====

MgIrCl2 | PBE | optimized geometry

Lattice parameters (Å, degrees): 8.2757 8.2757 8.2757 25.73 25.73 25.73
Last column: nearest neighbours and their distance in Å.
Atoms (fractional coordinates):
Mg (0.0000, 0.0000, 0.0000)  2 Cl 2.69
Ir (0.5000, 0.5000, 0.5000)  6 Cl 2.50
Cl (0.1121, 0.1121, 0.1121)  3 Ir 2.50, 1 Mg 2.69
Cl (0.8879, 0.8879, 0.8879)  3 Ir 2.50, 1 Mg 2.69

Calculated values
For the relative energy among the computed polymorphs, the calculation gives 716 meV/atom. The calculation puts the energy relative to the elements, uncorrected at 1.0 eV/f.u.

=====

MgIr2Cl | PBE | optimized geometry

Lattice parameters (Å, degrees): 6.4371 6.4371 6.4371 147.91 147.91 46.01
Last column: nearest neighbours and their distance in Å.
Atoms (fractional coordinates):
Mg (0.2500, 0.7500, 0.5000)  4 Cl 2.52
Ir (0.0000, 0.0000, 0.0000)  4 Ir 2.52
Cl (0.7500, 0.2500, 0.5000)  4 Mg 2.52
Ir (0.5000, 0.5000, 0.0000)  4 Ir 2.52

Calculated values
For the relative energy among the computed polymorphs, the calculation gives 322 meV/atom. The calculation puts the energy relative to the elements, uncorrected at 1.0 eV/f.u.

=====

MgIr2Cl | PBE | optimized geometry

Lattice parameters (Å, degrees): 2.8838 2.8838 9.4648 90.00 90.00 90.00
Last column: nearest neighbours and their distance in Å.
Atoms (fractional coordinates):
Ir (0.0000, 0.0000, 0.0927)  8 Ir 2.63-2.88
Cl (0.5000, 0.5000, 0.6486)  4 Mg 2.53
Ir (0.5000, 0.5000, 0.2680)  8 Ir 2.63-2.88, 4 Mg 2.93
Mg (0.0000, 0.0000, 0.4907)  4 Cl 2.53

Calculated values
For the relative energy among the computed polymorphs, the calculation gives 6 meV/atom. The calculation puts the energy relative to the elements, uncorrected at -0.3 eV/f.u.

=====

MgIr2Cl | PBE | optimized geometry

Lattice parameters (Å, degrees): 3.5683 3.5683 12.0480 81.48 81.48 90.00
Last column: nearest neighbours and their distance in Å.
Atoms (fractional coordinates):
Ir (0.3750, 0.3760, 0.7500)  4 Ir 2.52-2.53
Mg (0.5000, 0.5000, 0.0000)  4 Cl 2.52
Cl (0.7500, 0.2500, 0.5000)  4 Mg 2.52
Mg (0.2500, 0.7500, 0.5000)  4 Cl 2.52
Ir (0.8750, 0.8740, 0.7500)  4 Ir 2.52-2.53
Ir (0.6240, 0.1250, 0.2500)  4 Ir 2.52-2.53
Cl (0.0000, 0.0000, 0.0000)  4 Mg 2.52
Ir (0.1260, 0.6250, 0.2500)  4 Ir 2.52-2.53

Calculated values
For the relative energy among the computed polymorphs, the calculation gives 296 meV/atom. The calculation puts the energy relative to the elements, uncorrected at 0.9 eV/f.u.

=====

MgIr2Cl | PBE | optimized geometry

Lattice parameters (Å, degrees): 5.3968 5.3968 5.3968 148.45 128.18 61.95
Last column: nearest neighbours and their distance in Å.
Atoms (fractional coordinates):
Ir (0.0103, 0.0103, 0.0000)  2 Cl 2.51, 2 Ir 2.66, 4 Mg 2.78
Mg (0.4890, 0.4890, 0.0000)  8 Ir 2.78-3.10, 2 Cl 2.81, 2 Mg 2.93
Ir (0.7711, 0.2711, 0.5000)  4 Ir 2.66-2.93, 4 Cl 2.80
Cl (0.2297, 0.7297, 0.5000)  6 Ir 2.51-2.80

Calculated values
For the relative energy among the computed polymorphs, the calculation gives 524 meV/atom. The calculation puts the energy relative to the elements, uncorrected at 1.8 eV/f.u.

=====

MgIrCl | PBE | optimized geometry

Lattice parameters (Å, degrees): 7.3607 7.3607 7.3607 157.34 157.34 32.26
Last column: nearest neighbours and their distance in Å.
Atoms (fractional coordinates):
Mg (0.6558, 0.6558, 0.0000)  4 Cl 2.55, 4 Ir 2.84
Cl (0.0486, 0.0486, 0.0000)  4 Mg 2.55
Ir (0.2956, 0.2956, 0.0000)  4 Mg 2.84, 4 Ir 2.89

Calculated values
For the relative energy among the computed polymorphs, the calculation gives 629 meV/atom. The calculation puts the energy relative to the elements, uncorrected at -0.2 eV/f.u.

=====

MgIr2Cl | PBE | optimized geometry

Lattice parameters (Å, degrees): 2.8382 2.8382 7.7800 90.00 90.00 90.00
Last column: nearest neighbours and their distance in Å.
Atoms (fractional coordinates):
Ir (0.0000, 0.0000, 0.4998)  4 Mg 2.79, 4 Cl 2.80, 4 Ir 2.84
Mg (0.5000, 0.5000, 0.2500)  8 Ir 2.79, 4 Mg 2.84
Cl (0.5000, 0.5000, 0.7500)  8 Ir 2.80, 4 Cl 2.84
Ir (0.0000, 0.0000, 0.0002)  4 Mg 2.79, 4 Cl 2.80, 4 Ir 2.84

Calculated values
For the relative energy among the computed polymorphs, the calculation gives 564 meV/atom. The calculation puts the energy relative to the elements, uncorrected at 1.9 eV/f.u.

=====

MgIrCl2 | PBE | optimized geometry

Lattice parameters (Å, degrees): 4.4741 4.9364 4.4590 63.94 88.45 116.16
Last column: nearest neighbours and their distance in Å.
Atoms (fractional coordinates):
Cl (0.5000, 0.0000, 0.5000)  2 Ir 2.50, 2 Mg 2.50
Mg (0.5000, 0.5000, 0.0000)  4 Cl 2.50
Ir (0.0000, 0.5000, 0.5000)  4 Cl 2.50
Cl (0.0000, 0.0000, 0.0000)  2 Mg 2.50, 2 Ir 2.50

Calculated values
For the relative energy among the computed polymorphs, the calculation gives 368 meV/atom. The calculation puts the energy relative to the elements, uncorrected at -0.3 eV/f.u.